# UH3Ru

A relaxed UH3Ru crystal (PBE, Alexandria).

Structure (CIF):
```
data_UH3Ru
_chemical_formula_sum 'U1 H3 Ru1'
_space_group_name_H-M_alt 'P 1'
_space_group_IT_number 1
_space_group_name_Hall 'P 1'
_cell_length_a 3.659
_cell_length_b 3.659
_cell_length_c 3.659
_cell_angle_alpha 90.00
_cell_angle_beta 90.00
_cell_angle_gamma 90.00
loop_
_atom_site_label
_atom_site_type_symbol
_atom_site_fract_x
_atom_site_fract_y
_atom_site_fract_z
H1 H 0.500 0.000 0.000
Ru1 Ru 0.000 0.000 0.000
U1 U 0.500 0.500 0.500
H2 H 0.000 0.500 0.000
H3 H 0.000 0.000 0.500
```

Symmetry: No. 221
Raw total energy, eV per cell: -31.3